PaInPO6: optimized geometry, PBE-GGA.

Unit cell a=5.3477 b=5.3477 c=4.9575 alpha=90.01 beta=89.99 gamma=59.97
Fractional coordinates of all 9 atoms:
In 0.9998 0.9998 0.0000
Pa 0.6666 0.6667 0.5000
O 0.5980 0.3413 0.7003
P 0.3333 0.3334 0.5000
O 0.5981 0.0605 0.2995
O 0.3414 0.5980 0.2996
O 0.0607 0.3415 0.2996
O 0.0605 0.5982 0.7004
O 0.3414 0.0608 0.7003

Properties
Formation energy from raw total energies: -2.135 eV/atom
Fermi-level density of states: 0.277 states/eV/atom